{
  "formula": "RbNiH6Pt",
  "functional": "PBE-GGA",
  "state": "optimized geometry",
  "lattice": [[4.712, 0.000, 0.000], [-2.356, 4.081, 0.000], [0.000, 0.000, 5.868]],
  "species": ["Rb", "Ni", "H", "H", "H", "H", "H", "H", "Pt"],
  "fractional_positions": [[0.000, 0.000, 0.000], [0.667, 0.333, 0.500], [0.366, 0.003, 0.639], [0.366, 0.363, 0.361], [0.637, 0.003, 0.361], [0.637, 0.634, 0.639], [0.997, 0.363, 0.639], [0.997, 0.634, 0.361], [0.333, 0.667, 0.500]],
  "density_g_cm3": 5.08,
  "total_energy_ev_per_atom": -3.80,
  "dos_at_fermi_per_ev_atom": 0.514,
  "m_tot_mub_per_cell": 0.00
}